First-principles (GGA-PBE) data for an optimized crystal structure of Pm4Sn8Ru, as listed in the Alexandria database.

POSCAR file:
```
Pm4Sn8Ru
1.0
4.4888 0.0000 0.0000
0.0000 4.5657 0.0000
0.0000 0.0000 16.9310
Pm Sn Ru
4 8 1
Cartesian
0.0000 0.0000 0.0000
0.0000 2.2828 8.2385
2.2444 0.0000 13.3366
2.2444 2.2828 4.9650
0.0000 0.0000 5.5389
0.0000 0.0000 10.5822
0.0000 2.2828 2.4637
0.0000 2.2828 14.4518
2.2444 0.0000 2.5162
2.2444 0.0000 7.6512
2.2444 2.2828 10.5626
2.2444 2.2828 16.4181
0.0000 2.2828 11.8744
```

Values from the calculation:
calculated formation energy: -7.5 eV per formula unit
symmetry: Pmm2, No. 25
crystal system: orthorhombic

=====

First-principles (GGA-PBE) data for an optimized crystal structure of CeTh2Ta, as listed in the Alexandria database.

POSCAR file:
```
CeTh2Ta
1.0
1.6276 0.9397 11.9599
-1.6276 0.9397 11.9599
0.0000 -1.8794 11.9599
Ce Th Ta
1 2 1
Cartesian
0.0000 0.0000 0.0000
0.0000 0.0000 15.0021
0.0000 0.0000 20.8776
0.0000 0.0000 17.9398
```

Values from the calculation:
calculated formation energy: 2.4 eV per formula unit
symmetry: R-3m, No. 166
crystal system: trigonal

=====

First-principles (GGA-PBE) data for an optimized crystal structure of EuTm2Mg, as listed in the Alexandria database.

POSCAR file:
```
EuTm2Mg
1.0
4.9359 0.0000 0.0000
0.0000 4.9359 0.0000
0.0000 0.0000 5.0302
Eu Tm Mg
1 2 1
Cartesian
0.0000 0.0000 0.0000
0.0000 2.4680 2.5151
2.4680 0.0000 2.5151
2.4680 2.4680 0.0000
```

Values from the calculation:
calculated formation energy: 0.4 eV per formula unit
symmetry: P4/mmm, No. 123
crystal system: tetragonal

=====

First-principles (GGA-PBE) data for an optimized crystal structure of NaTcPO6, as listed in the Alexandria database.

POSCAR file:
```
NaTcPO6
1.0
4.9215 0.0000 0.0000
-2.4608 4.2622 0.0000
0.0000 0.0000 5.2217
Na Tc P O
1 1 1 6
Cartesian
0.0000 0.0000 0.0000
0.0000 2.8415 2.6108
2.4608 1.4207 2.6108
1.9084 0.1335 3.6177
1.0698 1.5860 1.6039
3.0131 0.1335 1.6039
1.6222 2.5427 3.6177
3.8517 1.5860 3.6177
3.2993 2.5427 1.6039
```

Values from the calculation:
ΔE_f (raw): -1.614 eV per atom
symmetry: P312, No. 149
crystal system: trigonal

=====

Number 1: density of states at the Fermi level 8.2 states/eV/cell. Number 2: density of states at the Fermi level 7.6 states/eV/cell. Number 3: density of states at the Fermi level 5.9 states/eV/cell. Number 4: density of states at the Fermi level 0.6 states/eV/cell.